Here is Dy3Al5O12 at its PBEsol-relaxed geometry from Alexandria. Energies are from SCAN.

Geometry as extended XYZ:
```
80
Lattice="-5.992 5.992 5.992 5.992 -5.992 5.992 5.992 5.992 -5.992" Properties=species:S:1:pos:R:3 pbc="T T T"
Dy 2.996 1.498 0.000
Dy 5.992 2.996 -1.498
Dy 1.498 0.000 2.996
Dy 7.490 0.000 2.996
Dy 0.000 2.996 1.498
Dy 2.996 -1.498 5.992
Dy 2.996 7.490 0.000
Dy 5.992 2.996 4.494
Dy -1.498 5.992 2.996
Dy 4.494 5.992 2.996
Dy 0.000 2.996 7.490
Dy 2.996 4.494 5.992
Al 0.000 0.000 0.000
Al 2.996 2.996 -2.996
Al 2.996 -2.996 2.996
Al 5.992 0.000 0.000
Al 8.988 1.498 0.000
Al 5.992 -2.996 4.494
Al 4.494 5.992 -2.996
Al 4.494 0.000 2.996
Al 2.996 4.494 0.000
Al 5.992 2.996 1.498
Al -2.996 2.996 2.996
Al 0.000 5.992 0.000
Al 0.000 0.000 5.992
Al 2.996 2.996 2.996
Al 0.000 2.996 4.494
Al 2.996 1.498 5.992
Al 1.498 5.992 2.996
Al 1.498 0.000 8.988
Al 0.000 8.988 1.498
Al -2.996 4.494 5.992
O 1.785 -0.362 0.620
O 7.203 3.616 -3.358
O 7.777 0.362 0.620
O 7.203 -2.376 3.358
O 5.630 -0.620 1.785
O 9.350 -1.211 2.376
O 0.620 1.785 -0.362
O 8.368 2.634 -1.211
O 3.616 3.358 -1.211
O 5.372 1.785 0.362
O -0.362 0.620 1.785
O 3.358 -1.211 3.616
O 5.630 5.372 -1.785
O 3.358 1.211 2.376
O 3.616 -3.358 7.203
O 5.372 -1.785 5.630
O 2.376 3.358 1.211
O 6.612 4.207 0.362
O 3.358 7.203 -2.376
O 5.630 0.620 4.207
O 1.785 5.630 -0.620
O 7.203 2.376 2.634
O 1.211 2.376 3.358
O 1.785 0.362 5.372
O 4.207 5.630 0.620
O 4.781 3.616 2.634
O -1.211 3.616 3.358
O 4.207 0.362 6.612
O 0.362 5.372 1.785
O 2.634 -1.211 8.368
O -0.620 1.785 5.630
O 3.616 2.634 4.781
O 0.620 7.777 0.362
O 2.376 9.350 -1.211
O 2.634 4.781 3.616
O 0.362 0.620 7.777
O 2.634 7.203 2.376
O 6.354 5.372 4.207
O 0.620 4.207 5.630
O 2.376 2.634 7.203
O -2.376 3.358 7.203
O 5.372 4.207 6.354
O -3.358 7.203 3.616
O 0.362 6.612 4.207
O -1.211 8.368 2.634
O -1.785 5.630 5.372
O -1.211 2.376 9.350
O 4.207 6.354 5.372
```

Summary:
M_tot (Bohr magnetons per cell): 0.0
Space group: Ia-3d (230)
Raw formation energy (eV/atom): -3.635